The following is a DFT calculation (PBE) of a geometry-optimized LaTeSI2 structure.

Properties
total DFT energy (no corrections) = -0.2449 Ry per atom
energy above the lowest structure with this stoichiometry = 0 meV/atom
size of the total moment = 0.42 μB per cell
raw formation energy = -0.2730 eV per atom

a b c (Å): 5.5225 5.5225 5.4152
angles (deg): 90.00 90.00 90.00
With the nearest neighbours (Å) after each atom.
Space group P4/mmm (No. 123)
Asymmetric unit:
La: 0.0000 0.0000 0.0000 [1 per cell]  8 I 3.87, 4 Te 3.91
Te: 0.5000 0.5000 0.0000 [1 per cell]  2 S 2.71
S: 0.5000 0.5000 0.5000 [1 per cell]  2 Te 2.71, 4 I 2.76
I: 0.0000 0.5000 0.5000 [2 per cell]  2 S 2.76